1.
The following is a PBE calculation of a relaxed NdScBr crystal, from Alexandria via LeMat-Bulk.

Properties
The energy above the lowest structure with this stoichiometry is 0.000 eV/atom. The space group is P3m1. The uncorrected formation energy comes out at -680 meV/atom.

Cell and atoms, written as POSCAR:
```
NdScBr
1.0
3.6339 0.0000 0.0000
-1.8169 3.1470 0.0000
0.0000 0.0000 7.2487
Nd Sc Br
1 1 1
direct
0.0000 0.0000 0.0000 Nd
0.3333 0.6667 0.6376 Sc
0.6667 0.3333 0.3542 Br
```

2.
The following is a PBE calculation of a relaxed La8CoRu3Br3 crystal, from Alexandria via LeMat-Bulk.

Properties
The space group is C2/m. The uncorrected formation energy comes out at -736 meV/atom.

Cell and atoms, written as POSCAR:
```
La8CoRu3Br3
1.0
7.1776 -4.1441 0.0000
7.1776 4.1441 0.0000
-4.7924 0.0000 7.9294
La Co Ru Br
8 1 3 3
direct
0.2276 0.2276 0.6902 La
0.2281 0.7343 0.6902 La
0.2657 0.7719 0.3098 La
0.2681 0.2681 0.3045 La
0.7319 0.7319 0.6955 La
0.7343 0.2281 0.6902 La
0.7719 0.2657 0.3098 La
0.7724 0.7724 0.3098 La
0.0000 0.0000 0.5000 Co
0.0000 0.5000 0.5000 Ru
0.5000 0.0000 0.5000 Ru
0.5000 0.5000 0.5000 Ru
0.0000 0.0000 0.0000 Br
0.0000 0.5000 0.0000 Br
0.5000 0.0000 0.0000 Br
```

3.
The following is a PBE calculation of a relaxed Cs2Ga2I5 crystal, from Alexandria via LeMat-Bulk.

Properties
The space group is C2/m. The uncorrected formation energy comes out at -866 meV/atom.

Cell and atoms, written as POSCAR:
```
Cs2Ga2I5
1.0
8.4362 -3.1445 0.0000
8.4362 3.1445 0.0000
-3.1310 0.0000 8.4165
Cs Ga I
2 2 5
direct
0.1037 0.1037 0.3039 Cs
0.8963 0.8963 0.6961 Cs
0.3466 0.3466 0.1045 Ga
0.6534 0.6534 0.8955 Ga
0.1583 0.1583 0.9081 I
0.3506 0.3506 0.4279 I
0.5000 0.5000 0.0000 I
0.6494 0.6494 0.5721 I
0.8417 0.8417 0.0919 I
```